Here is Ga2HgAuI after structural relaxation from Alexandria via LeMat-Bulk. Energies are from PBE.

Calculated values
ρ, Mg/m³: 7.73
Total DFT energy (no corrections), eV per atom: -2.3534

Unit cell a=5.120 b=5.120 c=5.442 alpha=90.00 beta=90.00 gamma=90.00
Positions (direct):
I1 0.500 0.500 0.500
Ga1 0.500 0.000 0.000
Ga2 0.000 0.500 0.000
Au1 0.000 0.000 0.000
Hg1 0.000 0.000 0.500

Here is KGaHg2Au after structural relaxation from Alexandria via LeMat-Bulk. Energies are from PBE.

Calculated values
ρ, Mg/m³: 7.83
Energy relative to the elements, eV per atom: -0.1542
Energy above the lowest structure with this stoichiometry, eV/atom: 0.000
Total DFT energy (no corrections), eV per atom: -1.7553

Unit cell a=5.438 b=5.438 c=5.074 alpha=90.00 beta=90.00 gamma=90.00
Positions (direct):
Ga1 0.000 0.000 0.000
Hg1 0.000 0.500 0.000
Au1 0.000 0.000 0.500
Hg2 0.500 0.000 0.000
K1 0.500 0.500 0.500

Here is KGaHg2Au after structural relaxation from Alexandria via LeMat-Bulk. Energies are from PBE.

Calculated values
ρ, Mg/m³: 7.56
Energy relative to the elements, eV per atom: -0.0722
Energy above the lowest structure with this stoichiometry, eV/atom: 0.082
Total DFT energy (no corrections), eV per atom: -1.6733

Unit cell a=5.567 b=5.567 c=5.011 alpha=90.00 beta=90.00 gamma=90.00
Positions (direct):
Hg1 0.000 0.500 0.000
Hg2 0.500 0.000 0.000
Ga1 0.000 0.000 0.500
K1 0.500 0.500 0.500
Au1 0.000 0.000 0.000

Here is K2GaHg6Au after structural relaxation from Alexandria via LeMat-Bulk. Energies are from PBE.

Calculated values
ρ, Mg/m³: 8.13
Energy relative to the elements, eV per atom: -0.1439
Total DFT energy (no corrections), eV per atom: -1.1749

Unit cell a=6.429 b=9.295 c=7.582 alpha=54.47 beta=65.25 gamma=89.96
Positions (direct):
Au1 0.500 0.500 0.000
Hg1 0.255 0.126 0.494
Ga1 0.000 0.000 0.000
Hg2 0.248 0.750 0.015
Hg3 0.752 0.250 0.985
Hg4 0.745 0.874 0.506
Hg5 0.736 0.752 0.014
K1 0.771 0.301 0.461
K2 0.229 0.699 0.539
Hg6 0.264 0.248 0.986

Here is KGaHgAu2 after structural relaxation from Alexandria via LeMat-Bulk. Energies are from PBE.

Calculated values
ρ, Mg/m³: 8.36
Energy relative to the elements, eV per atom: -0.1783
Total DFT energy (no corrections), eV per atom: -2.3744

Unit cell a=5.072 b=5.072 c=5.431 alpha=90.00 beta=90.00 gamma=90.00
Positions (direct):
Au1 0.000 0.500 0.000
Ga1 0.000 0.000 0.000
K1 0.500 0.500 0.500
Au2 0.500 0.000 0.000
Hg1 0.000 0.000 0.500

Here is K2GaHgAu after structural relaxation from Alexandria via LeMat-Bulk. Energies are from PBE.

Calculated values
ρ, Mg/m³: 4.45
Energy relative to the elements, eV per atom: -0.1488
Energy above the lowest structure with this stoichiometry, eV/atom: 0.000
Total DFT energy (no corrections), eV per atom: -1.9090

Unit cell a=6.493 b=6.493 c=4.832 alpha=90.00 beta=90.00 gamma=90.00
Positions (direct):
Ga1 0.000 0.000 0.500
K1 0.000 0.500 0.000
Hg1 0.500 0.500 0.500
Au1 0.000 0.000 0.000
K2 0.500 0.000 0.000

Here is K2Ga3HgAu4 after structural relaxation from Alexandria via LeMat-Bulk. Energies are from PBE.

Calculated values
ρ, Mg/m³: 8.79
Energy relative to the elements, eV per atom: -0.2901
Total DFT energy (no corrections), eV per atom: -2.7588

Unit cell a=4.800 b=4.800 c=10.460 alpha=90.00 beta=90.00 gamma=90.00
Positions (direct):
Au1 0.500 0.500 0.000
Au2 0.000 0.000 0.000
K1 0.500 0.000 0.246
K2 0.000 0.500 0.754
Ga1 0.500 0.000 0.893
Hg1 0.500 0.500 0.500
Au3 0.000 0.500 0.354
Au4 0.500 0.000 0.646
Ga2 0.000 0.000 0.500
Ga3 0.000 0.500 0.107

Here is K2Ga3HgAu12 after structural relaxation from Alexandria via LeMat-Bulk. Energies are from PBE.

Calculated values
ρ, Mg/m³: 10.02
Energy relative to the elements, eV per atom: -0.0008
Total DFT energy (no corrections), eV per atom: -2.8289

Unit cell a=8.384 b=8.384 c=8.384 alpha=66.21 beta=66.21 gamma=66.21
Positions (direct):
Au1 0.864 0.365 0.864
Ga1 0.500 0.000 0.000
Au2 0.998 0.339 0.339
Au3 0.002 0.661 0.661
Au4 0.136 0.136 0.635
Au5 0.661 0.661 0.002
K1 0.594 0.594 0.594
Au6 0.635 0.136 0.136
Au7 0.864 0.864 0.365
Au8 0.365 0.864 0.864
K2 0.406 0.406 0.406
Au9 0.339 0.339 0.998
Au10 0.339 0.998 0.339
Ga2 0.000 0.500 0.000
Hg1 0.000 0.000 0.000
Au11 0.136 0.635 0.136
Au12 0.661 0.002 0.661
Ga3 0.000 0.000 0.500

Here is La2Ga4HgAu3 after structural relaxation from Alexandria via LeMat-Bulk. Energies are from PBE.

Calculated values
ρ, Mg/m³: 10.28
Energy relative to the elements, eV per atom: -0.6267
Total DFT energy (no corrections), eV per atom: -3.8364

Unit cell a=4.520 b=4.520 c=10.658 alpha=90.00 beta=90.00 gamma=90.00
Positions (direct):
Ga1 0.000 0.500 0.360
Au1 0.000 0.000 0.500
Ga2 0.000 0.000 0.000
La1 0.000 0.500 0.753
Ga3 0.500 0.500 0.000
Hg1 0.500 0.500 0.500
Ga4 0.500 0.000 0.640
La2 0.500 0.000 0.247
Au2 0.000 0.500 0.124
Au3 0.500 0.000 0.876

Here is La4GaHgAu2 after structural relaxation from Alexandria via LeMat-Bulk. Energies are from PBE.

Calculated values
ρ, Mg/m³: 9.09
Energy relative to the elements, eV per atom: -0.6369
Total DFT energy (no corrections), eV per atom: -4.3360

Unit cell a=5.394 b=5.394 c=9.375 alpha=73.28 beta=73.28 gamma=60.00
Last column: magnetic moment on the atom in μB.
Positions (direct):
La1 0.379 0.379 0.863  0.03
Hg1 0.000 0.000 0.000  0.00
Au1 0.745 0.745 0.765  0.01
Au2 0.255 0.255 0.235  0.01
Ga1 0.500 0.500 0.500  0.00
La2 0.871 0.871 0.387  0.08
La3 0.129 0.129 0.613  0.08
La4 0.621 0.621 0.137  0.03

Here is LiGaHgAu after structural relaxation from Alexandria via LeMat-Bulk. Energies are from PBE.

Calculated values
ρ, Mg/m³: 10.98
Energy relative to the elements, eV per atom: -0.2857
Total DFT energy (no corrections), eV per atom: -2.4157

Unit cell a=4.664 b=4.664 c=4.664 alpha=60.00 beta=60.00 gamma=60.00
Positions (direct):
Li1 0.750 0.750 0.750
Ga1 0.250 0.250 0.250
Au1 0.500 0.500 0.500
Hg1 0.000 0.000 0.000

Here is LuGaHgAu after structural relaxation from Alexandria via LeMat-Bulk. Energies are from PBE.

Calculated values
ρ, Mg/m³: 12.89
Energy relative to the elements, eV per atom: -0.4559
Total DFT energy (no corrections), eV per atom: -3.2376

Unit cell a=4.891 b=4.891 c=4.891 alpha=60.00 beta=60.00 gamma=60.00
Positions (direct):
Au1 0.250 0.250 0.250
Lu1 0.000 0.000 0.000
Ga1 0.500 0.500 0.500
Hg1 0.750 0.750 0.750

Here is MgGaHgAu after structural relaxation from Alexandria via LeMat-Bulk. Energies are from PBE.

Calculated values
ρ, Mg/m³: 10.36
Energy relative to the elements, eV per atom: -0.1854
Total DFT energy (no corrections), eV per atom: -2.2356

Unit cell a=4.811 b=4.811 c=4.811 alpha=60.00 beta=60.00 gamma=60.00
Positions (direct):
Ga1 0.500 0.500 0.500
Au1 0.250 0.250 0.250
Hg1 0.750 0.750 0.750
Mg1 0.000 0.000 0.000

Here is MnGaHgAu2 after structural relaxation from Alexandria via LeMat-Bulk. Energies are from PBE.

Calculated values
ρ, Mg/m³: 9.73
Energy relative to the elements, eV per atom: 0.5464
Total DFT energy (no corrections), eV per atom: -3.2642

Unit cell a=4.866 b=5.183 c=4.866 alpha=90.00 beta=90.00 gamma=90.00
Last column: magnetic moment on the atom in μB.
Positions (direct):
Mn1 0.500 0.500 0.500  4.44
Au1 0.500 0.000 0.000  0.01
Au2 0.000 0.000 0.500  0.03
Ga1 0.000 0.000 0.000  -0.01
Hg1 0.000 0.500 0.000  0.01

Here is Na2Ga4HgAu3 after structural relaxation from Alexandria via LeMat-Bulk. Energies are from PBE.

Calculated values
ρ, Mg/m³: 8.41
Energy relative to the elements, eV per atom: -0.2412
Total DFT energy (no corrections), eV per atom: -2.7292

Unit cell a=4.503 b=4.503 c=10.868 alpha=90.00 beta=90.00 gamma=90.00
Positions (direct):
Na1 0.000 0.500 0.751
Ga1 0.500 0.000 0.639
Na2 0.500 0.000 0.249
Ga2 0.000 0.500 0.361
Au1 0.000 0.000 0.500
Hg1 0.500 0.500 0.500
Ga3 0.500 0.500 0.000
Ga4 0.000 0.000 0.000
Au2 0.000 0.500 0.129
Au3 0.500 0.000 0.871

Here is NaGaHg2Au after structural relaxation from Alexandria via LeMat-Bulk. Energies are from PBE.

Calculated values
ρ, Mg/m³: 8.04
Energy relative to the elements, eV per atom: -0.0428
Total DFT energy (no corrections), eV per atom: -1.6882

Unit cell a=5.361 b=5.361 c=4.965 alpha=90.00 beta=90.00 gamma=90.00
Positions (direct):
Ga1 0.000 0.000 0.000
Hg1 0.500 0.000 0.000
Au1 0.000 0.000 0.500
Na1 0.500 0.500 0.500
Hg2 0.000 0.500 0.000

Here is Na2Ga3HgAu12 after structural relaxation from Alexandria via LeMat-Bulk. Energies are from PBE.

Calculated values
ρ, Mg/m³: 13.05
Energy relative to the elements, eV per atom: -0.0752
Total DFT energy (no corrections), eV per atom: -2.9279

Unit cell a=7.137 b=7.137 c=7.137 alpha=84.46 beta=84.46 gamma=84.46
Positions (direct):
Ga1 0.000 0.000 0.500
Au1 0.805 0.805 0.315
Au2 0.315 0.805 0.805
Na1 0.382 0.382 0.382
Au3 0.685 0.195 0.195
Au4 0.381 0.381 0.927
Au5 0.927 0.381 0.381
Au6 0.619 0.619 0.073
Au7 0.195 0.685 0.195
Ga2 0.000 0.500 0.000
Hg1 0.000 0.000 0.000
Au8 0.381 0.927 0.381
Au9 0.073 0.619 0.619
Na2 0.618 0.618 0.618
Ga3 0.500 0.000 0.000
Au10 0.195 0.195 0.685
Au11 0.805 0.315 0.805
Au12 0.619 0.073 0.619

Here is Nd4GaHgAu2 after structural relaxation from Alexandria via LeMat-Bulk. Energies are from PBE.

Calculated values
ρ, Mg/m³: 9.76
Energy relative to the elements, eV per atom: -0.6081
Total DFT energy (no corrections), eV per atom: -4.2274

Unit cell a=5.296 b=5.296 c=9.213 alpha=73.30 beta=73.30 gamma=60.00
Last column: magnetic moment on the atom in μB.
Positions (direct):
Au1 0.253 0.253 0.240  0.01
Nd1 0.378 0.378 0.865  0.05
Hg1 0.000 0.000 0.000  0.00
Ga1 0.500 0.500 0.500  0.00
Au2 0.747 0.747 0.760  0.01
Nd2 0.872 0.872 0.384  0.11
Nd3 0.622 0.622 0.135  0.05
Nd4 0.128 0.128 0.616  0.11

Here is Nd2Ga4HgAu3 after structural relaxation from Alexandria via LeMat-Bulk. Energies are from PBE.

Calculated values
ρ, Mg/m³: 10.63
Energy relative to the elements, eV per atom: -0.5787
Total DFT energy (no corrections), eV per atom: -3.7565

Unit cell a=4.460 b=4.460 c=10.673 alpha=90.00 beta=90.00 gamma=90.00
Positions (direct):
Hg1 0.500 0.500 0.500
Au1 0.000 0.500 0.125
Nd1 0.500 0.000 0.248
Au2 0.000 0.000 0.500
Ga1 0.000 0.500 0.359
Ga2 0.500 0.000 0.641
Nd2 0.000 0.500 0.752
Ga3 0.500 0.500 0.000
Ga4 0.000 0.000 0.000
Au3 0.500 0.000 0.875

Here is NpGaHgAu after structural relaxation from Alexandria via LeMat-Bulk. Energies are from PBE.

Calculated values
ρ, Mg/m³: 13.24
Energy relative to the elements, eV per atom: -0.0141
Total DFT energy (no corrections), eV per atom: -4.9008

Unit cell a=4.999 b=4.999 c=4.999 alpha=60.00 beta=60.00 gamma=60.00
Last column: magnetic moment on the atom in μB.
Positions (direct):
Au1 0.500 0.500 0.500  0.01
Ga1 0.250 0.250 0.250  -0.01
Hg1 0.000 0.000 0.000  0.03
Np1 0.750 0.750 0.750  3.93

Here is Ga2HgAuO after structural relaxation from Alexandria via LeMat-Bulk. Energies are from PBE.

Calculated values
ρ, Mg/m³: 7.25
Total DFT energy (no corrections), eV per atom: -2.5083

Unit cell a=4.886 b=5.306 c=4.886 alpha=90.00 beta=90.00 gamma=90.00
Positions (direct):
Au1 0.000 0.000 0.000
Ga1 0.000 0.000 0.500
Hg1 0.000 0.500 0.000
Ga2 0.500 0.000 0.000
O1 0.500 0.500 0.500

Here is Ga2HgAuO6 after structural relaxation from Alexandria via LeMat-Bulk. Energies are from PBE.

Calculated values
ρ, Mg/m³: 7.07
Total DFT energy (no corrections), eV per atom: -4.7486

Unit cell a=6.157 b=7.130 c=7.130 alpha=84.47 beta=77.21 gamma=77.21
Positions (direct):
O1 0.690 0.718 0.594
Ga1 0.868 0.620 0.777
O2 0.190 0.594 0.718
Ga2 0.368 0.777 0.620
Ga3 0.632 0.223 0.380
O3 0.704 0.774 0.978
Hg1 0.250 0.906 0.094
Au1 0.750 0.728 0.272
O4 0.204 0.978 0.774
O5 0.810 0.406 0.282
O6 0.090 0.646 0.190
O7 0.310 0.282 0.406
O8 0.590 0.190 0.646
O9 0.296 0.226 0.022
O10 0.796 0.022 0.226
O11 0.410 0.810 0.354
Ga4 0.132 0.380 0.223
Hg2 0.750 0.094 0.906
Au2 0.250 0.272 0.728
O12 0.910 0.354 0.810

Here is PaGaHgAu after structural relaxation from Alexandria via LeMat-Bulk. Energies are from PBE.

Calculated values
ρ, Mg/m³: 13.31
Energy relative to the elements, eV per atom: -0.1582
Total DFT energy (no corrections), eV per atom: -4.1837

Unit cell a=4.975 b=4.975 c=4.975 alpha=60.00 beta=60.00 gamma=60.00
Positions (direct):
Ga1 0.250 0.250 0.250
Hg1 0.000 0.000 0.000
Au1 0.500 0.500 0.500
Pa1 0.750 0.750 0.750

Here is GaHgPb2Au6 after structural relaxation from Alexandria via LeMat-Bulk. Energies are from PBE.

Calculated values
ρ, Mg/m³: 12.99
Energy relative to the elements, eV per atom: -0.0214
Total DFT energy (no corrections), eV per atom: -3.0624

Unit cell a=5.670 b=9.348 c=9.001 alpha=90.00 beta=90.00 gamma=90.00
Positions (direct):
Pb1 0.000 0.290 0.242
Pb2 0.500 0.710 0.742
Au1 0.249 0.535 0.000
Au2 0.500 0.097 0.253
Au3 0.751 0.535 0.000
Pb3 0.000 0.290 0.758
Ga1 0.500 0.240 0.500
Au4 0.247 0.997 0.500
Hg1 0.500 0.281 0.000
Au5 0.000 0.903 0.247
Au6 0.253 0.003 0.000
Au7 0.251 0.465 0.500
Au8 0.500 0.097 0.747
Hg2 0.000 0.719 0.500
Ga2 0.000 0.760 0.000
Au9 0.753 0.997 0.500
Au10 0.747 0.003 0.000
Au11 0.000 0.903 0.753
Pb4 0.500 0.710 0.258
Au12 0.749 0.465 0.500